Entry 1:
Entry from Alexandria: SrSiP2 at its PBEsol-relaxed geometry (SCAN).

Unit cell a=3.467 b=3.467 c=7.325 alpha=90.00 beta=90.00 gamma=90.00
Fractional coordinates of all 4 atoms:
Sr 0.500 0.500 0.796
Si 0.000 0.000 0.313
P 0.000 0.000 0.007
P 0.500 0.500 0.384

Results
calculated density	3.349	g cm⁻³
uncorrected formation energy	-67	kJ/mol of formula units
space group	P4mm (99)


Entry 2:
Entry from Alexandria: K3SmP2O8 at its PBEsol-relaxed geometry (SCAN).

Unit cell a=5.631 b=7.396 c=9.446 alpha=90.84 beta=90.00 gamma=90.00
Fractional coordinates of all 28 atoms:
K 0.750 0.506 0.190
K 0.250 0.494 0.810
K 0.750 0.362 0.592
K 0.250 0.638 0.408
K 0.250 0.200 0.083
K 0.750 0.800 0.917
Sm 0.750 0.006 0.291
Sm 0.250 0.994 0.709
P 0.250 0.191 0.427
P 0.250 0.767 0.087
P 0.750 0.233 0.913
P 0.750 0.809 0.573
O 0.250 0.561 0.101
O 0.525 0.153 0.839
O 0.025 0.847 0.161
O 0.475 0.847 0.161
O 0.250 0.283 0.576
O 0.750 0.717 0.424
O 0.250 0.985 0.452
O 0.750 0.015 0.548
O 0.975 0.753 0.657
O 0.475 0.247 0.343
O 0.025 0.247 0.343
O 0.525 0.753 0.657
O 0.750 0.176 0.071
O 0.250 0.824 0.929
O 0.750 0.439 0.899
O 0.975 0.153 0.839

Results
calculated density	3.864	g cm⁻³
uncorrected formation energy	-3882	kJ/mol of formula units
space group	P2_1/m (11)


Entry 3:
Entry from Alexandria: Na3TiCr at its PBEsol-relaxed geometry (SCAN).

Unit cell a=5.528 b=5.528 c=5.528 alpha=90.00 beta=90.00 gamma=90.00
Site moments in Bohr magnetons follow the coordinates.
Fractional coordinates of all 5 atoms:
Cr 0.000 0.000 0.000  4.45
Na 0.000 0.500 0.000  0.03
Na 0.000 0.000 0.500  0.03
Na 0.500 0.000 0.000  0.03
Ti 0.500 0.500 0.500  2.15

Results
calculated density	1.660	g cm⁻³
ΔH_f (0 K)	1.102	eV/atom
space group	Pm-3m (221)


Entry 4:
Entry from Alexandria: Cr3SiW at its PBEsol-relaxed geometry (SCAN).

Unit cell a=4.137 b=4.137 c=4.137 alpha=90.00 beta=90.00 gamma=90.00
Site moments in Bohr magnetons follow the coordinates.
Fractional coordinates of all 5 atoms:
Cr 0.000 0.500 0.000  1.64
Cr 0.000 0.000 0.500  1.64
Cr 0.500 0.000 0.000  1.64
Si 0.000 0.000 0.000  -0.14
W 0.500 0.500 0.500  -1.16

Results
calculated density	8.628	g cm⁻³
uncorrected formation energy	531	kJ/mol of formula units
space group	Pm-3m (221)


Entry 5:
Entry from Alexandria: Zr2TlCd at its PBEsol-relaxed geometry (SCAN).

Unit cell a=3.279 b=5.160 c=5.927 alpha=115.44 beta=106.06 gamma=90.00
Fractional coordinates of all 4 atoms:
Tl 0.242 0.739 0.484
Zr 0.001 0.004 0.002
Zr 0.752 0.249 0.504
Cd 0.505 0.508 0.009

Results
calculated density	9.617	g cm⁻³
ΔH_f (0 K)	-0.156	eV/atom
space group	Cm (8)


Entry 6:
Entry from Alexandria: ZnPdBr2 at its PBEsol-relaxed geometry (SCAN).

Unit cell a=4.748 b=4.748 c=4.748 alpha=60.00 beta=60.00 gamma=60.00
Fractional coordinates of all 4 atoms:
Zn 0.000 0.000 0.000
Br 0.250 0.250 0.250
Br 0.750 0.750 0.750
Pd 0.500 0.500 0.500

Results
relative energy among the computed polymorphs	0.301	eV per atom
calculated density	7.276	g cm⁻³
uncorrected formation energy	60	kJ/mol of formula units
space group	Fm-3m (225)